Record 1
# Li4CeTm3Se8

A geometry-optimized Li4CeTm3Se8 structure (PBE-GGA, Alexandria via LeMat-Bulk).

abc: 8.0144 8.0144 8.0144
angles: 61.04 61.04 61.04
With the nearest neighbours (Å) after each atom.
Sites, in units of the cell vectors:
Li 0.0000 0.0000 0.0000  6 Se 2.79
Li 0.0000 0.5000 0.5000  6 Se 2.86-2.87
Li 0.5000 0.0000 0.5000  6 Se 2.86-2.87
Li 0.5000 0.5000 0.0000  6 Se 2.86-2.87
Ce 0.5000 0.5000 0.5000  6 Se 2.93
Tm 0.0000 0.0000 0.5000  6 Se 2.84-2.85
Tm 0.0000 0.5000 0.0000  6 Se 2.84-2.85
Tm 0.5000 0.0000 0.0000  6 Se 2.84-2.85
Se 0.2415 0.7561 0.7561  3 Li 2.79-2.87, 2 Tm 2.84, 1 Ce 2.93
Se 0.2439 0.2439 0.7585  3 Li 2.79-2.87, 2 Tm 2.84, 1 Ce 2.93
Se 0.2439 0.7585 0.2439  3 Li 2.79-2.87, 2 Tm 2.84, 1 Ce 2.93
Se 0.2498 0.2498 0.2498  3 Tm 2.85, 3 Li 2.86
Se 0.7502 0.7502 0.7502  3 Tm 2.85, 3 Li 2.86
Se 0.7561 0.2415 0.7561  3 Li 2.79-2.87, 2 Tm 2.84, 1 Ce 2.93
Se 0.7561 0.7561 0.2415  3 Li 2.79-2.87, 2 Tm 2.84, 1 Ce 2.93
Se 0.7585 0.2439 0.2439  3 Li 2.79-2.87, 2 Tm 2.84, 1 Ce 2.93

As for the energy relative to the elements, uncorrected: -26.6 eV/f.u. As for the density of states at the Fermi level: 0.3784 states/eV per atom.

---

Record 2
# LiCe3Tm2Se6

A geometry-optimized LiCe3Tm2Se6 structure (PBE-GGA, Alexandria via LeMat-Bulk).

abc: 7.0589 7.0589 7.1984
angles: 99.43 99.43 120.01
With the nearest neighbours (Å) after each atom.
Sites, in units of the cell vectors:
Li 0.0000 0.0000 0.0000  6 Se 2.79
Ce 0.1673 0.8327 0.5000  6 Se 2.97-3.01
Ce 0.5000 0.5000 0.5000  6 Se 2.97-3.02
Ce 0.8327 0.1673 0.5000  6 Se 2.97-3.01
Tm 0.3338 0.6662 0.0000  6 Se 2.84
Tm 0.6662 0.3338 0.0000  6 Se 2.84
Se 0.0762 0.4041 0.2292  1 Li 2.79, 2 Tm 2.84, 3 Ce 2.97-3.01
Se 0.2511 0.2511 0.7703  1 Li 2.79, 2 Tm 2.84, 3 Ce 2.98-3.02
Se 0.4041 0.0762 0.2292  1 Li 2.79, 2 Tm 2.84, 3 Ce 2.97-3.01
Se 0.5959 0.9238 0.7708  1 Li 2.79, 2 Tm 2.84, 3 Ce 2.97-3.01
Se 0.7489 0.7489 0.2297  1 Li 2.79, 2 Tm 2.84, 3 Ce 2.98-3.02
Se 0.9238 0.5959 0.7708  1 Li 2.79, 2 Tm 2.84, 3 Ce 2.97-3.01

As for the energy relative to the elements, uncorrected: -20.7 eV/f.u. As for the density of states at the Fermi level: 1.5960 states/eV per atom.

---

Record 3
# Li2CeTmSe4

A geometry-optimized Li2CeTmSe4 structure (PBE-GGA, Alexandria via LeMat-Bulk).

abc: 6.9142 4.1171 7.1395
angles: 90.00 110.05 90.00
With the nearest neighbours (Å) after each atom.
Sites, in units of the cell vectors:
Li 0.0000 0.0000 0.0000  6 Se 2.81-2.82
Li 0.0000 0.5000 0.5000  6 Se 2.90-2.91
Ce 0.5000 0.0000 0.5000  6 Se 2.94-2.95
Tm 0.5000 0.5000 0.0000  6 Se 2.85-2.86
Se 0.2425 0.5000 0.2371  3 Li 2.82-2.91, 1 Tm 2.85, 2 Ce 2.94
Se 0.2476 0.0000 0.7589  3 Li 2.81-2.90, 2 Tm 2.86, 1 Ce 2.95
Se 0.7524 0.0000 0.2411  3 Li 2.81-2.90, 2 Tm 2.86, 1 Ce 2.95
Se 0.7575 0.5000 0.7629  3 Li 2.82-2.91, 1 Tm 2.85, 2 Ce 2.94

As for the energy relative to the elements, uncorrected: -13.1 eV/f.u. As for the density of states at the Fermi level: 0.7764 states/eV per atom.

---

Record 4
# Li3CeTm2Se6

A geometry-optimized Li3CeTm2Se6 structure (PBE-GGA, Alexandria via LeMat-Bulk).

abc: 7.0837 7.0837 6.9046
angles: 99.81 99.81 120.02
With the nearest neighbours (Å) after each atom.
Sites, in units of the cell vectors:
Li 0.0000 0.0000 0.0000  6 Se 2.78-2.89
Li 0.3312 0.6688 0.0000  6 Se 2.77-2.90
Li 0.6688 0.3312 0.0000  6 Se 2.77-2.90
Ce 0.5000 0.5000 0.5000  6 Se 2.94-2.95
Tm 0.1665 0.8335 0.5000  6 Se 2.84-2.85
Tm 0.8335 0.1665 0.5000  6 Se 2.84-2.85
Se 0.0714 0.4161 0.2474  3 Li 2.77-2.89, 2 Tm 2.84, 1 Ce 2.94
Se 0.2399 0.2399 0.7545  3 Li 2.78-2.90, 2 Tm 2.85, 1 Ce 2.95
Se 0.4161 0.0714 0.2474  3 Li 2.77-2.89, 2 Tm 2.84, 1 Ce 2.94
Se 0.5839 0.9286 0.7526  3 Li 2.77-2.89, 2 Tm 2.84, 1 Ce 2.94
Se 0.7601 0.7601 0.2455  3 Li 2.78-2.90, 2 Tm 2.85, 1 Ce 2.95
Se 0.9286 0.5839 0.7526  3 Li 2.77-2.89, 2 Tm 2.84, 1 Ce 2.94

As for the energy relative to the elements, uncorrected: -19.9 eV/f.u. As for the density of states at the Fermi level: 0.3992 states/eV per atom.

---

Record 5
# Li4Ce3TmSe8

A geometry-optimized Li4Ce3TmSe8 structure (PBE-GGA, Alexandria via LeMat-Bulk).

abc: 8.0841 8.0841 8.0841
angles: 62.07 62.07 62.07
With the nearest neighbours (Å) after each atom.
Sites, in units of the cell vectors:
Li 0.0000 0.0000 0.0000  6 Se 2.94
Li 0.0000 0.5000 0.5000  6 Se 2.85-2.86
Li 0.5000 0.0000 0.5000  6 Se 2.85-2.86
Li 0.5000 0.5000 0.0000  6 Se 2.85-2.86
Ce 0.0000 0.0000 0.5000  6 Se 2.94-2.96
Ce 0.0000 0.5000 0.0000  6 Se 2.94-2.96
Ce 0.5000 0.0000 0.0000  6 Se 2.94-2.96
Tm 0.5000 0.5000 0.5000  6 Se 2.86
Se 0.2532 0.2532 0.7379  3 Li 2.85-2.94, 1 Tm 2.86, 2 Ce 2.96
Se 0.2532 0.7379 0.2532  3 Li 2.85-2.94, 1 Tm 2.86, 2 Ce 2.96
Se 0.2537 0.2537 0.2537  3 Li 2.86, 3 Ce 2.94
Se 0.2621 0.7468 0.7468  3 Li 2.85-2.94, 1 Tm 2.86, 2 Ce 2.96
Se 0.7379 0.2532 0.2532  3 Li 2.85-2.94, 1 Tm 2.86, 2 Ce 2.96
Se 0.7463 0.7463 0.7463  3 Li 2.86, 3 Ce 2.94
Se 0.7468 0.2621 0.7468  3 Li 2.85-2.94, 1 Tm 2.86, 2 Ce 2.96
Se 0.7468 0.7468 0.2621  3 Li 2.85-2.94, 1 Tm 2.86, 2 Ce 2.96

As for the energy relative to the elements, uncorrected: -25.8 eV/f.u. As for the density of states at the Fermi level: 1.2022 states/eV per atom.

---

Record 6
# Li3Ce2TmSe6

A geometry-optimized Li3Ce2TmSe6 structure (PBE-GGA, Alexandria via LeMat-Bulk).

abc: 7.2009 7.2009 6.9154
angles: 99.91 99.91 120.06
With the nearest neighbours (Å) after each atom.
Sites, in units of the cell vectors:
Li 0.0000 0.0000 0.0000  6 Se 2.84-2.94
Li 0.3395 0.6605 0.0000  6 Se 2.80-3.00
Li 0.6605 0.3395 0.0000  6 Se 2.80-3.00
Ce 0.1673 0.8327 0.5000  6 Se 2.95
Ce 0.8327 0.1673 0.5000  6 Se 2.95
Tm 0.5000 0.5000 0.5000  6 Se 2.85-2.86
Se 0.0927 0.4146 0.2429  3 Li 2.83-3.00, 1 Tm 2.86, 2 Ce 2.95
Se 0.2616 0.2616 0.7543  3 Li 2.80-2.94, 1 Tm 2.85, 2 Ce 2.95
Se 0.4146 0.0927 0.2429  3 Li 2.83-3.00, 1 Tm 2.86, 2 Ce 2.95
Se 0.5854 0.9073 0.7571  3 Li 2.83-3.00, 1 Tm 2.86, 2 Ce 2.95
Se 0.7384 0.7384 0.2457  3 Li 2.80-2.94, 1 Tm 2.85, 2 Ce 2.95
Se 0.9073 0.5854 0.7571  3 Li 2.83-3.00, 1 Tm 2.86, 2 Ce 2.95

As for the energy relative to the elements, uncorrected: -19.5 eV/f.u. As for the density of states at the Fermi level: 1.0808 states/eV per atom.

---

Record 7
# Li2CeUSe4

A geometry-optimized Li2CeUSe4 structure (PBE-GGA, Alexandria via LeMat-Bulk).

abc: 6.9719 4.1110 7.1381
angles: 90.00 109.93 90.00
With the nearest neighbours (Å) after each atom.
Sites, in units of the cell vectors:
Li 0.0000 0.0000 0.0000  6 Se 2.82-2.83
Li 0.0000 0.5000 0.5000  6 Se 2.87-2.88
Ce 0.5000 0.0000 0.5000  6 Se 2.94-2.95
U 0.5000 0.5000 0.0000  6 Se 2.89-2.90
Se 0.2391 0.5000 0.2403  3 Li 2.83-2.88, 1 U 2.89, 2 Ce 2.94
Se 0.2412 0.0000 0.7523  3 Li 2.82-2.87, 2 U 2.90, 1 Ce 2.95
Se 0.7588 0.0000 0.2477  3 Li 2.82-2.87, 2 U 2.90, 1 Ce 2.95
Se 0.7609 0.5000 0.7597  3 Li 2.83-2.88, 1 U 2.89, 2 Ce 2.94

As for the energy relative to the elements, uncorrected: -11.1 eV/f.u. As for the density of states at the Fermi level: 1.2746 states/eV per atom.

---

Record 8
# LiCeU2Se4

A geometry-optimized LiCeU2Se4 structure (PBE-GGA, Alexandria via LeMat-Bulk).

abc: 6.9764 4.0357 7.2653
angles: 90.00 108.77 90.00
With the nearest neighbours (Å) after each atom.
Sites, in units of the cell vectors:
Li 0.0000 0.0000 0.0000  6 Se 2.83-2.84
Ce 0.5000 0.5000 0.0000  6 Se 2.92
U 0.0000 0.5000 0.5000  6 Se 2.87
U 0.5000 0.0000 0.5000  6 Se 2.95-2.96
Se 0.2384 0.5000 0.2428  2 Li 2.84, 3 U 2.87-2.95, 1 Ce 2.92
Se 0.2393 0.0000 0.7512  1 Li 2.83, 3 U 2.87-2.96, 2 Ce 2.92
Se 0.7607 0.0000 0.2488  1 Li 2.83, 3 U 2.87-2.96, 2 Ce 2.92
Se 0.7616 0.5000 0.7572  2 Li 2.84, 3 U 2.87-2.95, 1 Ce 2.92

As for the energy relative to the elements, uncorrected: -10.3 eV/f.u. As for the density of states at the Fermi level: 1.6690 states/eV per atom.